No. 1
A plane-wave DFT calculation with GGA-PBE was carried out for a relaxed Li3Sc3InS8 crystal.

## Properties
raw formation energy	-1.42	eV/atom
space group	R-3m (166)

a b c (Å): 7.453 7.453 7.453
angles (deg): 59.52 59.52 59.52
Fractional positions:
Li 0.000 0.500 0.500
Li 0.500 0.000 0.500
Li 0.500 0.500 0.000
Sc 0.000 0.000 0.500
Sc 0.000 0.500 0.000
Sc 0.500 0.000 0.000
In 0.500 0.500 0.500
S 0.242 0.751 0.751
S 0.247 0.247 0.247
S 0.249 0.249 0.758
S 0.249 0.758 0.249
S 0.751 0.242 0.751
S 0.751 0.751 0.242
S 0.753 0.753 0.753
S 0.758 0.249 0.249


No. 2
A plane-wave DFT calculation with GGA-PBE was carried out for a relaxed BiRu crystal.

## Properties
space group	P2_1/m (11)
formation energy	0.401	eV per atom

a b c (Å): 4.616 3.222 5.671
angles (deg): 90.00 103.62 90.00
Fractional positions:
Bi 0.185 0.250 0.298
Bi 0.815 0.750 0.702
Ru 0.355 0.250 0.826
Ru 0.645 0.750 0.174


No. 3
A plane-wave DFT calculation with GGA-PBE was carried out for a relaxed Tc2SeSCl crystal.

## Properties
raw formation energy	1.34	eV/atom
space group	P4/mmm (123)

a b c (Å): 4.758 4.758 4.835
angles (deg): 90.00 90.00 90.00
Fractional positions:
Tc 0.000 0.500 0.000
Tc 0.500 0.000 0.000
Se 0.000 0.000 0.000
S 0.500 0.500 0.500
Cl 0.000 0.000 0.500


No. 4
A plane-wave DFT calculation with GGA-PBE was carried out for a relaxed Na3Tm3PuTe8 crystal.

## Properties
raw formation energy	-1.18	eV/atom
space group	R-3m (166)

a b c (Å): 9.117 9.117 9.117
angles (deg): 57.31 57.31 57.31
Fractional positions:
Na 0.000 0.500 0.500
Na 0.500 0.000 0.500
Na 0.500 0.500 0.000
Tm 0.000 0.000 0.500
Tm 0.000 0.500 0.000
Tm 0.500 0.000 0.000
Pu 0.500 0.500 0.500
Te 0.239 0.745 0.745
Te 0.243 0.243 0.243
Te 0.255 0.255 0.761
Te 0.255 0.761 0.255
Te 0.745 0.239 0.745
Te 0.745 0.745 0.239
Te 0.757 0.757 0.757
Te 0.761 0.255 0.255


No. 5
A plane-wave DFT calculation with GGA-PBE was carried out for a relaxed LiSm2InTe5 crystal.

## Properties
raw formation energy	-1.01	eV/atom
space group	Cmc2_1 (36)

a b c (Å): 9.866 9.866 12.962
angles (deg): 90.00 90.00 154.58
Fractional positions:
Li 0.217 0.783 0.500
Li 0.783 0.217 0.000
Sm 0.123 0.877 0.163
Sm 0.126 0.874 0.788
Sm 0.874 0.126 0.288
Sm 0.877 0.123 0.663
In 0.414 0.586 0.956
In 0.586 0.414 0.456
Te 0.038 0.962 0.572
Te 0.296 0.704 0.146
Te 0.302 0.698 0.815
Te 0.359 0.641 0.479
Te 0.494 0.506 0.769
Te 0.506 0.494 0.269
Te 0.641 0.359 0.979
Te 0.698 0.302 0.315
Te 0.704 0.296 0.646
Te 0.962 0.038 0.072


No. 6
A plane-wave DFT calculation with GGA-PBE was carried out for a relaxed ReBSe2Br crystal.

## Properties
raw formation energy	1.43	eV/atom
space group	P4/mmm (123)

a b c (Å): 4.364 4.364 4.369
angles (deg): 90.00 90.00 90.00
Fractional positions:
Re 0.000 0.000 0.000
B 0.500 0.500 0.500
Se 0.000 0.500 0.500
Se 0.500 0.000 0.500
Br 0.500 0.500 0.000


No. 7
A plane-wave DFT calculation with GGA-PBE was carried out for a relaxed GdPaTcAg crystal.

## Properties
space group	F-43m (216)
formation energy	0.048	eV per atom

a b c (Å): 4.998 4.998 4.998
angles (deg): 60.00 60.00 60.00
Fractional positions:
Gd 0.000 0.000 0.000
Pa 0.500 0.500 0.500
Tc 0.250 0.250 0.250
Ag 0.750 0.750 0.750


No. 8
A plane-wave DFT calculation with GGA-PBE was carried out for a relaxed KCCl2 crystal.

## Properties
raw formation energy	0.94	eV/atom
space group	R-3m (166)

a b c (Å): 8.302 8.302 8.302
angles (deg): 28.34 28.34 28.34
Fractional positions:
K 0.000 0.000 0.000
C 0.500 0.500 0.500
Cl 0.119 0.119 0.119
Cl 0.881 0.881 0.881


No. 9
A plane-wave DFT calculation with GGA-PBE was carried out for a relaxed CdSn3Au3 crystal.

## Properties
space group	C2/m (12)
formation energy	-0.052	eV per atom

a b c (Å): 7.138 7.138 7.224
angles (deg): 95.07 95.07 109.19
Fractional positions:
Cd 0.244 0.244 0.392
Cd 0.756 0.756 0.608
Sn 0.143 0.857 0.000
Sn 0.217 0.783 0.500
Sn 0.452 0.452 0.797
Sn 0.548 0.548 0.203
Sn 0.783 0.217 0.500
Sn 0.857 0.143 0.000
Au 0.107 0.107 0.722
Au 0.128 0.511 0.178
Au 0.489 0.872 0.822
Au 0.511 0.128 0.178
Au 0.872 0.489 0.822
Au 0.893 0.893 0.278


No. 10
A plane-wave DFT calculation with GGA-PBE was carried out for a relaxed CaScGaSn crystal.

## Properties
space group	F-43m (216)
formation energy	-0.457	eV per atom

a b c (Å): 5.114 5.114 5.114
angles (deg): 60.00 60.00 60.00
Fractional positions:
Ca 0.000 0.000 0.000
Sc 0.500 0.500 0.500
Ga 0.750 0.750 0.750
Sn 0.250 0.250 0.250


No. 11
A plane-wave DFT calculation with GGA-PBE was carried out for a relaxed Ac2ZnGa4Au3 crystal.

## Properties
space group	P-4m2 (115)
formation energy	-0.635	eV per atom

a b c (Å): 4.540 4.540 10.712
angles (deg): 90.00 90.00 90.00
Fractional positions:
Ac 0.000 0.500 0.247
Ac 0.500 0.000 0.753
Zn 0.500 0.500 0.000
Ga 0.000 0.000 0.500
Ga 0.000 0.500 0.872
Ga 0.500 0.000 0.128
Ga 0.500 0.500 0.500
Au 0.000 0.000 0.000
Au 0.000 0.500 0.630
Au 0.500 0.000 0.370


No. 12
A plane-wave DFT calculation with GGA-PBE was carried out for a relaxed Er7Ga2Te2 crystal.

## Properties
raw formation energy	-0.72	eV/atom
space group	Imm2 (44)

a b c (Å): 9.033 9.033 9.033
angles (deg): 152.74 69.95 117.00
Fractional positions:
Er 0.000 0.000 0.000
Er 0.072 0.388 0.684
Er 0.111 0.754 0.357
Er 0.397 0.754 0.643
Er 0.468 0.599 0.868
Er 0.705 0.388 0.316
Er 0.731 0.599 0.132
Ga 0.315 0.083 0.232
Ga 0.851 0.083 0.768
Te 0.347 0.347 0.000
Te 0.737 0.237 0.500


No. 13
A plane-wave DFT calculation with GGA-PBE was carried out for a relaxed W2SeBr crystal.

## Properties
raw formation energy	1.49	eV/atom
space group	I-42d (122)

a b c (Å): 6.581 6.581 6.581
angles (deg): 126.33 126.33 79.34
Fractional positions:
W 0.122 0.625 0.997
W 0.375 0.372 0.497
W 0.628 0.125 0.003
W 0.875 0.878 0.503
Se 0.000 0.000 0.000
Se 0.750 0.250 0.500
Br 0.250 0.750 0.500
Br 0.500 0.500 0.000


No. 14
A plane-wave DFT calculation with GGA-PBE was carried out for a relaxed SrNd5Zn6 crystal.

## Properties
space group	P2/m (10)
formation energy	-0.273	eV per atom

a b c (Å): 5.245 7.442 8.312
angles (deg): 90.00 108.36 90.00
Fractional positions:
Sr 0.000 0.000 0.000
Nd 0.000 0.500 0.000
Nd 0.334 0.000 0.669
Nd 0.334 0.500 0.668
Nd 0.666 0.000 0.331
Nd 0.666 0.500 0.332
Zn 0.173 0.255 0.344
Zn 0.173 0.745 0.344
Zn 0.500 0.262 0.000
Zn 0.500 0.738 0.000
Zn 0.827 0.255 0.656
Zn 0.827 0.745 0.656


No. 15
A plane-wave DFT calculation with GGA-PBE was carried out for a relaxed CeSnAu2 crystal.

## Properties
space group	P4/mmm (123)
formation energy	-0.492	eV per atom

a b c (Å): 4.726 4.726 4.193
angles (deg): 90.00 90.00 90.00
Fractional positions:
Ce 0.000 0.000 0.000
Sn 0.500 0.500 0.000
Au 0.000 0.500 0.500
Au 0.500 0.000 0.500


No. 16
A plane-wave DFT calculation with GGA-PBE was carried out for a relaxed CeDy2InN crystal.

## Properties
raw formation energy	-0.90	eV/atom
space group	P4/mmm (123)

a b c (Å): 4.866 4.866 4.855
angles (deg): 90.00 90.00 90.00
Fractional positions:
Ce 0.000 0.000 0.000
Dy 0.000 0.500 0.500
Dy 0.500 0.000 0.500
In 0.500 0.500 0.000
N 0.000 0.000 0.500


No. 17
A plane-wave DFT calculation with GGA-PBE was carried out for a relaxed BaMnRh2 crystal.

## Properties
space group	P4/mmm (123)
formation energy	0.393	eV per atom

a b c (Å): 4.798 4.798 3.498
angles (deg): 90.00 90.00 90.00
Fractional positions:
Ba 0.000 0.000 0.000
Mn 0.500 0.500 0.000
Rh 0.000 0.500 0.500
Rh 0.500 0.000 0.500


No. 18
A plane-wave DFT calculation with GGA-PBE was carried out for a relaxed La3SmMn crystal.

## Properties
space group	Pm-3m (221)
formation energy	0.223	eV per atom

a b c (Å): 5.423 5.423 5.423
angles (deg): 90.00 90.00 90.00
Fractional positions:
La 0.000 0.000 0.500
La 0.000 0.500 0.000
La 0.500 0.000 0.000
Sm 0.500 0.500 0.500
Mn 0.000 0.000 0.000


No. 19
A plane-wave DFT calculation with GGA-PBE was carried out for a relaxed SnBi4Pb3 crystal.

## Properties
space group	Pmn2_1 (31)
formation energy	0.046	eV per atom

a b c (Å): 10.897 6.999 6.829
angles (deg): 90.00 90.00 90.00
Fractional positions:
Sn 0.000 0.033 0.000
Sn 0.500 0.967 0.500
Bi 0.000 0.487 0.068
Bi 0.000 0.973 0.541
Bi 0.225 0.805 0.189
Bi 0.275 0.195 0.689
Bi 0.500 0.027 0.041
Bi 0.500 0.513 0.568
Bi 0.725 0.195 0.689
Bi 0.775 0.805 0.189
Pb 0.000 0.449 0.561
Pb 0.241 0.720 0.718
Pb 0.259 0.280 0.218
Pb 0.500 0.551 0.061
Pb 0.741 0.280 0.218
Pb 0.759 0.720 0.718


No. 20
A plane-wave DFT calculation with GGA-PBE was carried out for a relaxed LiEuLuZn crystal.

## Properties
space group	F-43m (216)
formation energy	-0.055	eV per atom

a b c (Å): 5.198 5.198 5.198
angles (deg): 60.00 60.00 60.00
Fractional positions:
Li 0.000 0.000 0.000
Eu 0.250 0.250 0.250
Lu 0.750 0.750 0.750
Zn 0.500 0.500 0.500